Material: TlAg2WO
Method: DFT, GGA+U
State: optimized geometry

Calculated values
Space group = P4/mmm
Electronic total energy = -2.94 eV per atom

```
data_TlAg2WO
_cell_length_a 5.4022
_cell_length_b 5.4022
_cell_length_c 4.2450
_cell_angle_alpha 90.00
_cell_angle_beta 90.00
_cell_angle_gamma 90.00
_symmetry_space_group_name_H-M 'P 1'
_symmetry_Int_Tables_number 1
loop_
_symmetry_equiv_pos_as_xyz
'x,y,z'
loop_
_atom_site_label
_atom_site_type_symbol
_atom_site_fract_x
_atom_site_fract_y
_atom_site_fract_z
Tl1 Tl 0.0000 0.0000 0.0000
Ag1 Ag 0.0000 0.5000 0.0000
Ag2 Ag 0.5000 0.0000 0.0000
W1 W 0.5000 0.5000 0.5000
O1 O 0.0000 0.0000 0.5000
```